No. 1
Density functional theory data (PBE-GGA) for Cs2PrSe2O6 after structural relaxation.

Computed properties:
Calculated density = 4.33 g/cm³
Calculated total energy = -60.2 eV/f.u.
Total magnetization = 0.0747 μB/atom
Formation energy without anion corrections = -1.55 eV/atom

Lattice parameters (Å, degrees): 10.7180 6.3655 7.9931 90.00 111.64 90.00
Last column: nearest neighbours and their distance in Å.
Space group C2/m (No. 12)
Unique sites:
Cs1 0.2371 0.0000 0.2437 x4  7 O 3.11-3.35
Pr1 0.0000 0.5000 0.0000 x2  6 O 2.40
Se1 0.0842 0.0000 0.7219 x4  3 O 1.77-1.78
O1 0.0476 0.2251 0.8261 x8  1 Se 1.77
O2 0.2385 0.5000 0.1616 x4  1 Se 1.78

***

No. 2
Density functional theory data (PBE-GGA) for Cs4Pr3SiO8 after structural relaxation.

Computed properties:
Calculated density = 5.62 g/cm³
Calculated total energy = -97.1 eV/f.u.
Total magnetization = 0.0303 μB/atom
Formation energy without anion corrections = -2.14 eV/atom

Lattice parameters (Å, degrees): 13.0928 7.1252 8.0007 90.00 118.43 90.00
Last column: nearest neighbours and their distance in Å.
Space group C2/m (No. 12)
Unique sites:
Cs1 0.0000 0.0000 0.0000 x2  2 O 2.78
Cs2 0.0000 0.5000 0.0000 x2  6 O 3.12-3.45
Cs3 0.2500 0.2500 0.0000 x4  4 O 3.04-3.05
Pr1 0.0000 0.0000 0.5000 x2  6 O 2.41-2.60
Pr2 0.2500 0.2500 0.5000 x4  6 O 2.38-2.58
Si1 0.0000 0.5000 0.5000 x2  4 O 1.77
O1 0.0326 0.3219 0.3787 x8  1 Si 1.77
O2 0.2097 0.0000 0.6647 x4  3 Pr 2.41-2.42
O3 0.2286 0.0000 0.2892 x4  2 Pr 2.38

***

No. 3
Density functional theory data (PBE-GGA) for CsPrSi2O6 after structural relaxation.

Computed properties:
Calculated density = 4.58 g/cm³
Calculated total energy = -74.1 eV/f.u.
Total magnetization = 0.0000 μB/atom
Formation energy without anion corrections = -2.78 eV/atom

Lattice parameters (Å, degrees): 10.7368 10.5063 5.5528 90.00 99.71 90.00
Last column: nearest neighbours and their distance in Å.
Space group C2/c (No. 15)
Unique sites:
Cs1 0.0000 0.1733 0.2500 x4  8 O 2.97-3.11
Pr1 0.0000 0.3754 0.7500 x4  6 O 2.37-2.51
Si1 0.2264 0.0783 0.8027 x8  4 O 1.62-1.69
O1 0.1188 0.4323 0.1428 x8  1 Si 1.64
O2 0.1550 0.2140 0.7622 x8  1 Si 1.62
O3 0.1787 0.0058 0.0433 x8  2 Si 1.69

***

No. 4
Density functional theory data (PBE-GGA) for Cs4Pr3SnO8 after structural relaxation.

Computed properties:
Calculated density = 6.05 g/cm³
Calculated total energy = -95.6 eV/f.u.
Total magnetization = 0.0000 μB/atom
Formation energy without anion corrections = -2.14 eV/atom

Lattice parameters (Å, degrees): 7.4004 7.4004 20.8539 90.00 90.00 120.00
Last column: nearest neighbours and their distance in Å.
Space group R-3m (No. 166, hexagonal axes)
Unique sites:
Cs1 0.0000 0.0000 0.0000 x3  6 O 3.16
Cs2 0.0000 0.5000 0.0000 x9  6 O 3.12-3.13
Pr1 0.0000 0.5000 0.5000 x9  6 O 2.44-2.46
Sn1 0.0000 0.0000 0.5000 x3  6 O 2.40
O1 0.0000 0.0000 0.2236 x6  3 Pr 2.44
O2 0.0072 0.5036 0.2235 x18  1 Sn 2.40, 2 Pr 2.46